Computed, not measured: an optimized crystal structure of RbLi2Hf at the PBE level of DFT.

Cell and atoms, written as POSCAR:
```
RbLi2Hf
1.0
-6.093 -4.794 2.647
2.831 0.632 7.661
-3.634 0.744 5.661
Li Rb Hf
4 2 2
Direct
0.375 0.358 0.750
0.875 0.892 0.750
0.642 0.125 0.250
0.108 0.625 0.250
0.500 0.500 0.000
0.250 0.750 0.500
0.750 0.250 0.500
0.000 0.000 0.000
```

Uncorrected energy ... -20.821 eV/cell
Formation enthalpy at 0 K ... 1085 meV per atom
Energy relative to the lowest polymorph listed for this composition ... 0.30 eV per formula unit
Total magnetic moment ... 0.0011 μB/atom
Space group ... No. 122